A relaxed Li4Mn2OF7 crystal. Source: Alexandria via LeMat-Bulk, functional GGA+U.

a b c (Å): 5.973 6.008 6.045
angles (deg): 89.86 60.71 61.56
Fractional coordinates of all 14 atoms:
Li: 0.000 0.000 0.000
Li: 0.243 0.403 0.628
Li: 0.491 0.798 0.275
Li: 0.735 0.414 0.625
Mn: 0.221 0.410 0.140
Mn: 0.741 0.893 0.623
O: 0.758 0.669 0.406
F: 0.221 0.179 0.403
F: 0.238 0.652 0.396
F: 0.251 0.150 0.870
F: 0.274 0.618 0.858
F: 0.728 0.138 0.863
F: 0.735 0.145 0.404
F: 0.753 0.662 0.862

## Properties
The calculation puts the electronic total energy at -5.54 eV per atom.

***

A relaxed Li5Mn5O9F crystal. Source: Alexandria via LeMat-Bulk, functional GGA+U.

a b c (Å): 5.229 5.379 7.877
angles (deg): 105.49 104.52 101.84
Fractional coordinates of all 20 atoms:
Li: 0.000 0.000 0.000
Li: 0.185 0.451 0.431
Li: 0.395 0.830 0.827
Li: 0.602 0.229 0.220
Li: 0.790 0.647 0.629
Mn: 0.097 0.220 0.717
Mn: 0.286 0.614 0.118
Mn: 0.493 0.020 0.525
Mn: 0.692 0.427 0.918
Mn: 0.875 0.825 0.323
O: 0.034 0.620 0.885
O: 0.118 0.818 0.550
O: 0.355 0.235 0.954
O: 0.439 0.416 0.683
O: 0.507 0.622 0.355
O: 0.623 0.822 0.089
O: 0.778 0.044 0.776
O: 0.863 0.191 0.467
O: 0.938 0.480 0.170
F: 0.240 0.051 0.255

## Properties
The calculation puts the electronic total energy at -6.52 eV per atom.

***

A relaxed LiMn2O2F3 crystal. Source: Alexandria via LeMat-Bulk, functional GGA+U.

a b c (Å): 5.824 5.824 7.138
angles (deg): 110.10 110.10 55.89
Fractional coordinates of all 16 atoms:
Li: 0.000 0.000 0.000
Li: 0.000 0.000 0.500
Mn: 0.375 0.393 0.798
Mn: 0.393 0.375 0.298
Mn: 0.607 0.625 0.702
Mn: 0.625 0.607 0.202
O: 0.291 0.550 0.563
O: 0.450 0.709 0.937
O: 0.550 0.291 0.063
O: 0.709 0.450 0.437
F: 0.064 0.334 0.163
F: 0.183 0.817 0.250
F: 0.334 0.064 0.663
F: 0.666 0.936 0.337
F: 0.817 0.183 0.750
F: 0.936 0.666 0.837

## Properties
As for the energy relative to the lowest polymorph listed for this composition: 0.39 kcal/mol of atoms.